{
  "formula": "LiMnP3O9",
  "functional": "PBE with a Hubbard U",
  "state": "relaxed",
  "lattice": [[6.8812, -0.4227, 0.2791], [0.4438, 6.6776, -0.0830], [1.3060, 0.3799, 7.3105]],
  "species": ["O", "O", "O", "O", "O", "Mn", "Li", "O", "P", "Mn", "O", "Li", "O", "P", "P", "O", "O", "O", "O", "O", "O", "P", "P", "O", "O", "O", "P", "O"],
  "fractional_positions": [[0.0545, 0.4621, 0.1857], [0.7949, 0.0463, 0.3202], [0.9455, 0.5379, 0.8143], [0.1058, 0.8330, 0.0727], [0.3169, 0.6744, 0.2838], [0.9117, 0.8406, 0.8559], [0.4241, 0.8481, 0.8249], [0.8942, 0.1670, 0.9273], [0.1123, 0.6674, 0.2207], [0.0883, 0.1594, 0.1441], [0.3848, 0.2917, 0.6051], [0.5759, 0.1519, 0.1751], [0.6040, 0.4414, 0.1649], [0.4484, 0.3486, 0.7952], [0.8877, 0.3326, 0.7793], [0.6152, 0.7083, 0.3949], [0.3803, 0.1810, 0.9404], [0.2051, 0.9537, 0.6798], [0.6831, 0.3256, 0.7162], [0.0249, 0.2639, 0.5884], [0.7147, 0.8812, 0.6521], [0.7708, 0.8603, 0.4466], [0.2292, 0.1397, 0.5534], [0.2853, 0.1188, 0.3479], [0.6197, 0.8190, 0.0596], [0.9751, 0.7361, 0.4116], [0.5516, 0.6514, 0.2048], [0.3960, 0.5586, 0.8351]],
  "polymorph_energy_mev_per_atom": 0,
  "spacegroup": "P-1"
}